First-principles (PBE-GGA) data for a relaxed Be2AgIr crystal, as listed in Alexandria via LeMat-Bulk. Values from VASP.

Energy relative to the elements in eV/atom: -0.190
Crystal system: monoclinic
Symmetry: Pm (6)
Density of states at the Fermi level in states/eV/atom: 0.33

```
&SYSTEM
  ibrav = 0, nat = 4, ntyp = 3
/
ATOMIC_SPECIES
Be 9.01 Be.upf
Ir 192.22 Ir.upf
Ag 107.87 Ag.upf
CELL_PARAMETERS angstrom
-3.0398 -0.9776 1.9405
0.7277 -2.7935 -0.2675
2.6565 -1.1477 3.5832
ATOMIC_POSITIONS crystal
Be 0.0000 0.1965 0.9821
Be 0.5000 0.0419 0.2910
Ir 0.0000 0.4872 0.4021
Ag 0.5000 0.7744 0.8248
```



First-principles (PBE-GGA) data for a relaxed BeAgIr2 crystal, as listed in Alexandria via LeMat-Bulk. Values from VASP.

Energy relative to the elements in eV/atom: 0.381
Crystal system: tetragonal
Symmetry: I4/mmm (139)
Density of states at the Fermi level in states/eV/atom: 1.31

```
&SYSTEM
  ibrav = 0, nat = 4, ntyp = 3
/
ATOMIC_SPECIES
Be 9.01 Be.upf
Ir 192.22 Ir.upf
Ag 107.87 Ag.upf
CELL_PARAMETERS angstrom
4.7204 -0.0188 0.0000
1.6308 4.4298 0.0000
-3.1756 -2.2055 2.7081
ATOMIC_POSITIONS crystal
Be 0.7500 0.2500 0.5000
Ir 0.0000 0.0000 0.0000
Ir 0.5000 0.5000 0.0000
Ag 0.2500 0.7500 0.5000
```



First-principles (PBE-GGA) data for a relaxed Be2AgIr crystal, as listed in Alexandria via LeMat-Bulk. Values from VASP.

Energy relative to the elements in eV/atom: 0.345
Crystal system: tetragonal
Symmetry: I-42d (122)
Density of states at the Fermi level in states/eV/atom: 0.40

```
&SYSTEM
  ibrav = 0, nat = 8, ntyp = 3
/
ATOMIC_SPECIES
Be 9.01 Be.upf
Ir 192.22 Ir.upf
Ag 107.87 Ag.upf
CELL_PARAMETERS angstrom
3.9066 0.0000 0.0000
0.0000 3.9066 0.0000
1.9533 1.9533 7.5467
ATOMIC_POSITIONS crystal
Be 0.7058 0.1250 0.2500
Be 0.0442 0.6250 0.2500
Be 0.3750 0.2942 0.7500
Be 0.8750 0.9558 0.7500
Ir 0.0000 0.0000 0.0000
Ir 0.7500 0.2500 0.5000
Ag 0.5000 0.5000 0.0000
Ag 0.2500 0.7500 0.5000
```



First-principles (PBE-GGA) data for a relaxed BeAgIr2 crystal, as listed in Alexandria via LeMat-Bulk. Values from VASP.

Energy relative to the elements in eV/atom: 0.362
Crystal system: orthorhombic
Symmetry: Cmmm (65)
Density of states at the Fermi level in states/eV/atom: 0.79

```
&SYSTEM
  ibrav = 0, nat = 4, ntyp = 3
/
ATOMIC_SPECIES
Be 9.01 Be.upf
Ir 192.22 Ir.upf
Ag 107.87 Ag.upf
CELL_PARAMETERS angstrom
4.6030 0.0113 0.0000
-1.3716 4.3939 0.0000
0.0000 0.0000 2.7886
ATOMIC_POSITIONS crystal
Be 0.0000 0.5000 0.5000
Ir 0.0000 0.0000 0.0000
Ir 0.5000 0.5000 0.0000
Ag 0.5000 0.0000 0.5000
```



First-principles (PBE-GGA) data for a relaxed Be4AgIr crystal, as listed in Alexandria via LeMat-Bulk. Values from VASP.

Energy relative to the elements in eV/atom: -0.161
Crystal system: cubic
Symmetry: F-43m (216)
Density of states at the Fermi level in states/eV/atom: 0.27

```
&SYSTEM
  ibrav = 0, nat = 6, ntyp = 3
/
ATOMIC_SPECIES
Be 9.01 Be.upf
Ag 107.87 Ag.upf
Ir 192.22 Ir.upf
CELL_PARAMETERS angstrom
0.0000 3.1481 3.1481
3.1481 0.0000 3.1481
3.1481 3.1481 0.0000
ATOMIC_POSITIONS crystal
Be 0.8730 0.3757 0.3757
Be 0.3757 0.3757 0.8730
Be 0.3757 0.8730 0.3757
Be 0.3757 0.3757 0.3757
Ag 0.0000 0.0000 0.0000
Ir 0.7500 0.7500 0.7500
```



First-principles (PBE-GGA) data for a relaxed BeAg4Ir crystal, as listed in Alexandria via LeMat-Bulk. Values from VASP.

Energy relative to the elements in eV/atom: 0.750
Crystal system: cubic
Symmetry: F-43m (216)
Density of states at the Fermi level in states/eV/atom: 0.40

```
&SYSTEM
  ibrav = 0, nat = 6, ntyp = 3
/
ATOMIC_SPECIES
Be 9.01 Be.upf
Ag 107.87 Ag.upf
Ir 192.22 Ir.upf
CELL_PARAMETERS angstrom
-3.3914 -4.0477 -0.2451
-4.3275 0.3564 -3.0151
-0.3808 -2.8649 -4.4263
ATOMIC_POSITIONS crystal
Be 0.7500 0.7500 0.7500
Ag 0.8750 0.3750 0.3750
Ag 0.3750 0.3750 0.8750
Ag 0.3750 0.8750 0.3750
Ag 0.3750 0.3750 0.3750
Ir 0.0000 0.0000 0.0000
```